NbBi2OsN | GGA-PBE | relaxed

Formation energy without anion corrections: 2.245 eV/atom
Fermi-level density of states: 1.352 states/eV per atom

Unit cell a=5.447 b=5.447 c=4.740 alpha=90.00 beta=90.00 gamma=90.00
Space group P4/mmm (No. 123)
Symmetry-distinct sites (fractional):
Nb 0.000 0.000 0.000 (multiplicity 1)
Bi 0.000 0.500 0.000 (multiplicity 2)
Os 0.000 0.000 0.500 (multiplicity 1)
N 0.500 0.500 0.500 (multiplicity 1)

KZn2Os | GGA-PBE | relaxed

Energy above the lowest structure with this stoichiometry: 221 meV per atom
DFT formation energy: 0.6341 eV per atom
Fermi-level density of states: 0.774 states/eV per atom

Unit cell a=3.397 b=3.397 c=7.851 alpha=90.00 beta=90.00 gamma=90.00
Space group P4mm (No. 99)
Symmetry-distinct sites (fractional):
K 0.000 0.000 0.000 (multiplicity 1)
Zn 0.000 0.000 0.422 (multiplicity 1)
Zn 0.500 0.500 0.654 (multiplicity 1)
Os 0.500 0.500 0.335 (multiplicity 1)

MnTl2AgBr6 | GGA-PBE | relaxed

Formation energy without anion corrections: -0.678 eV/atom
Fermi-level density of states: 0.023 states/eV per atom

Unit cell a=7.225 b=7.948 c=12.965 alpha=90.00 beta=123.33 gamma=90.00
Space group P2_1/c (No. 14)
Symmetry-distinct sites (fractional):
Mn 0.000 0.000 0.000 (multiplicity 2)
Tl 0.275 0.086 0.743 (multiplicity 4)
Ag 0.500 0.000 0.500 (multiplicity 2)
Br 0.157 0.504 0.724 (multiplicity 4)
Br 0.237 0.688 0.032 (multiplicity 4)
Br 0.315 0.171 0.035 (multiplicity 4)

Ca4AgHgN | GGA-PBE | relaxed

Formation energy without anion corrections: -0.518 eV/atom
Fermi-level density of states: 0.373 states/eV per atom

Unit cell a=6.854 b=15.690 c=6.822 alpha=90.00 beta=90.00 gamma=90.00
Space group Cmcm (No. 63)
Symmetry-distinct sites (fractional):
Ca 0.000 0.090 0.250 (multiplicity 4)
Ca 0.000 0.408 0.250 (multiplicity 4)
Ca 0.250 0.250 0.000 (multiplicity 8)
Ag 0.000 0.110 0.750 (multiplicity 4)
Hg 0.000 0.394 0.750 (multiplicity 4)
N 0.000 0.250 0.250 (multiplicity 4)

BeZn2F | GGA-PBE | relaxed

Formation energy without anion corrections: -0.265 eV/atom
Energy above the lowest structure with this stoichiometry: 0 meV per atom
Fermi-level density of states: 0.304 states/eV per atom

Unit cell a=6.393 b=6.393 c=5.325 alpha=90.00 beta=90.00 gamma=90.00
Space group I-42d (No. 122)
Symmetry-distinct sites (fractional):
Be 0.000 0.000 0.000 (multiplicity 4)
Zn 0.234 0.250 0.625 (multiplicity 8)
F 0.000 0.000 0.500 (multiplicity 4)

FeHSe3 | GGA-PBE | relaxed

Energy above the lowest structure with this stoichiometry: 221 meV per atom
Fermi-level density of states: 0.794 states/eV per atom

Unit cell a=4.193 b=4.193 c=4.193 alpha=90.00 beta=90.00 gamma=90.00
Space group Pm-3m (No. 221)
Symmetry-distinct sites (fractional):
Fe 0.000 0.000 0.000 (multiplicity 1)
H 0.500 0.500 0.500 (multiplicity 1)
Se 0.000 0.500 0.500 (multiplicity 3)

NaSc2Ag | GGA-PBE | relaxed

Energy above the lowest structure with this stoichiometry: 56 meV per atom
DFT formation energy: 0.2099 eV per atom
Fermi-level density of states: 0.732 states/eV per atom

Unit cell a=3.2090 b=3.2090 c=33.4985 alpha=90.00 beta=90.00 gamma=120.00
Space group R-3m (No. 166, hexagonal axes)
Symmetry-distinct sites (fractional):
Na 0.0000 0.0000 0.0000 (multiplicity 3)
Sc 0.0000 0.0000 0.0973 (multiplicity 6)
Ag 0.0000 0.0000 0.5000 (multiplicity 3)

PrMgH6Ru | GGA-PBE | relaxed

Final energy: -39.10 eV per cell
Fermi-level density of states: 0.227 states/eV per atom

Unit cell a=4.6915 b=4.6915 c=4.5672 alpha=90.00 beta=90.00 gamma=120.00
Space group P-6m2 (No. 187)
Symmetry-distinct sites (fractional):
Pr 0.0000 0.0000 0.0000 (multiplicity 1)
Mg 0.3333 0.6667 0.5000 (multiplicity 1)
H 0.5196 0.0391 0.2287 (multiplicity 6)
Ru 0.6667 0.3333 0.5000 (multiplicity 1)

Ag6HgPt | GGA-PBE | relaxed

Energy above the lowest structure with this stoichiometry: 82 meV per atom
DFT formation energy: 0.1132 eV per atom
Fermi-level density of states: 0.306 states/eV per atom

Unit cell a=7.527 b=9.740 c=5.533 alpha=90.00 beta=132.31 gamma=90.00
Space group C2/m (No. 12)
Symmetry-distinct sites (fractional):
Ag 0.000 0.245 0.249 (multiplicity 8)
Ag 0.247 0.000 0.750 (multiplicity 4)
Hg 0.000 0.500 0.500 (multiplicity 2)
Pt 0.000 0.000 0.000 (multiplicity 2)

MgNiAg2 | GGA-PBE | relaxed

DFT formation energy: 0.0038 eV per atom
Fermi-level density of states: 0.555 states/eV per atom

Unit cell a=6.378 b=6.378 c=6.378 alpha=90.00 beta=90.00 gamma=90.00
Space group F-43m (No. 216)
Symmetry-distinct sites (fractional):
Mg 0.000 0.000 0.000 (multiplicity 4)
Ni 0.250 0.250 0.250 (multiplicity 4)
Ag 0.000 0.000 0.500 (multiplicity 4)
Ag 0.250 0.250 0.750 (multiplicity 4)

HfMo3Pt | GGA-PBE | relaxed

Energy above the lowest structure with this stoichiometry: 0 meV per atom
DFT formation energy: 1.4511 eV per atom
Fermi-level density of states: 1.584 states/eV per atom

Unit cell a=4.769 b=4.769 c=4.769 alpha=90.00 beta=90.00 gamma=90.00
Space group Pm-3m (No. 221)
Symmetry-distinct sites (fractional):
Hf 0.000 0.000 0.000 (multiplicity 1)
Mo 0.000 0.500 0.500 (multiplicity 3)
Pt 0.500 0.500 0.500 (multiplicity 1)

CaAlCdAg | GGA-PBE | relaxed

DFT formation energy: -0.1995 eV per atom
Fermi-level density of states: 0.428 states/eV per atom

Unit cell a=6.992 b=6.992 c=6.992 alpha=90.00 beta=90.00 gamma=90.00
Space group F-43m (No. 216)
Symmetry-distinct sites (fractional):
Ca 0.000 0.000 0.000 (multiplicity 4)
Al 0.000 0.000 0.500 (multiplicity 4)
Cd 0.250 0.250 0.750 (multiplicity 4)
Ag 0.250 0.250 0.250 (multiplicity 4)

Ag2MoW | GGA-PBE | relaxed

Energy above the lowest structure with this stoichiometry: 294 meV per atom
DFT formation energy: 0.5984 eV per atom
Fermi-level density of states: 0.842 states/eV per atom

Unit cell a=3.327 b=4.196 c=9.535 alpha=90.00 beta=90.00 gamma=90.00
Space group Cmmm (No. 65)
Symmetry-distinct sites (fractional):
Ag 0.000 0.000 0.250 (multiplicity 4)
Mo 0.000 0.500 0.000 (multiplicity 2)
W 0.000 0.500 0.500 (multiplicity 2)

Hg2Se | GGA-PBE | relaxed

Formation energy without anion corrections: 0.051 eV/atom
Energy above the lowest structure with this stoichiometry: 143 meV per atom
Fermi-level density of states: 0.286 states/eV per atom

Unit cell a=6.693 b=6.693 c=4.455 alpha=90.00 beta=90.00 gamma=90.00
Space group P4_2/mnm (No. 136)
Symmetry-distinct sites (fractional):
Hg 0.202 0.202 0.000 (multiplicity 4)
Se 0.000 0.000 0.500 (multiplicity 2)

Ba2LiZn3Ga4 | GGA-PBE | relaxed

DFT formation energy: -0.3027 eV per atom
Fermi-level density of states: 0.757 states/eV per atom

Unit cell a=4.628 b=4.628 c=10.754 alpha=90.00 beta=90.00 gamma=90.00
Space group P-4m2 (No. 115)
Symmetry-distinct sites (fractional):
Ba 0.000 0.500 0.250 (multiplicity 2)
Li 0.000 0.000 0.500 (multiplicity 1)
Zn 0.000 0.500 0.871 (multiplicity 2)
Zn 0.500 0.500 0.500 (multiplicity 1)
Ga 0.000 0.000 0.000 (multiplicity 1)
Ga 0.000 0.500 0.622 (multiplicity 2)
Ga 0.500 0.500 0.000 (multiplicity 1)

PIr2Se | GGA-PBE | relaxed

Formation energy without anion corrections: -0.035 eV/atom
Fermi-level density of states: 0.497 states/eV per atom

Unit cell a=3.6060 b=3.6060 c=21.6980 alpha=90.00 beta=90.00 gamma=120.00
Space group R3m (No. 160, hexagonal axes)
Symmetry-distinct sites (fractional):
P 0.0000 0.0000 0.0000 (multiplicity 3)
Ir 0.0000 0.0000 0.4633 (multiplicity 3)
Ir 0.0000 0.0000 0.7020 (multiplicity 3)
Se 0.0000 0.0000 0.1847 (multiplicity 3)

CsCdP2Ru | GGA-PBE | relaxed

DFT formation energy: 1.2307 eV per atom
Fermi-level density of states: 1.058 states/eV per atom

Unit cell a=5.168 b=5.168 c=5.388 alpha=90.00 beta=90.00 gamma=90.00
Space group P4/mmm (No. 123)
Symmetry-distinct sites (fractional):
Cs 0.000 0.000 0.000 (multiplicity 1)
Cd 0.500 0.500 0.500 (multiplicity 1)
P 0.000 0.500 0.500 (multiplicity 2)
Ru 0.500 0.500 0.000 (multiplicity 1)

ScOs3Rh | GGA-PBE | relaxed

Energy above the lowest structure with this stoichiometry: 608 meV per atom
DFT formation energy: 2.3858 eV per atom
Fermi-level density of states: 1.278 states/eV per atom

Unit cell a=4.542 b=4.542 c=4.542 alpha=90.00 beta=90.00 gamma=90.00
Space group Pm-3m (No. 221)
Symmetry-distinct sites (fractional):
Sc 0.000 0.000 0.000 (multiplicity 1)
Os 0.000 0.000 0.500 (multiplicity 3)
Rh 0.500 0.500 0.500 (multiplicity 1)

Y5Re | GGA-PBE | relaxed

Energy above the lowest structure with this stoichiometry: 1005 meV per atom
DFT formation energy: 1.0835 eV per atom
Fermi-level density of states: 1.060 states/eV per atom

Unit cell a=5.8256 b=5.8256 c=5.9902 alpha=90.00 beta=90.00 gamma=120.00
Space group P6/mmm (No. 191)
Symmetry-distinct sites (fractional):
Y 0.0000 0.5000 0.0000 (multiplicity 3)
Y 0.3333 0.6667 0.5000 (multiplicity 2)
Re 0.0000 0.0000 0.5000 (multiplicity 1)

Li2Mg | GGA-PBE | relaxed

DFT formation energy: -0.0440 eV per atom
Fermi-level density of states: 0.429 states/eV per atom

Unit cell a=3.271 b=14.874 c=4.971 alpha=90.00 beta=90.00 gamma=90.00
Space group Cmcm (No. 63)
Symmetry-distinct sites (fractional):
Li 0.000 0.081 0.250 (multiplicity 4)
Li 0.000 0.257 0.750 (multiplicity 4)
Mg 0.000 0.413 0.250 (multiplicity 4)